Entry 1:
# PBE RbCaAsI2, relaxed
data_RbCaAsI2
_chemical_formula_sum 'Rb1 Ca1 As1 I2'
_symmetry_space_group_name_H-M 'P 4/m m m'
_symmetry_Int_Tables_number 123
_symmetry_space_group_name_Hall '-P 4 2'
_cell_length_a 5.947
_cell_length_b 5.947
_cell_length_c 6.394
_cell_angle_alpha 90.00
_cell_angle_beta 90.00
_cell_angle_gamma 90.00
loop_
_atom_site_label
_atom_site_fract_x
_atom_site_fract_y
_atom_site_fract_z
Rb1 0.000 0.000 0.000
Ca1 0.500 0.500 0.000
As1 0.000 0.000 0.500
I1 0.000 0.500 0.500
# Total DFT energy (no corrections) = -11.12 eV for the cell shown
# DOS at the Fermi energy = 0.649 states/eV/atom
# V = 226.12 Å³/cell

---

Entry 2:
# PBE Ca6As2SI3, relaxed
data_Ca6As2SI3
_chemical_formula_sum 'Ca12 As4 S2 I6'
_symmetry_space_group_name_H-M 'C 1 2/m 1'
_symmetry_Int_Tables_number 12
_symmetry_space_group_name_Hall '-C 2y'
_cell_length_a 7.488
_cell_length_b 12.969
_cell_length_c 7.821
_cell_angle_alpha 90.00
_cell_angle_beta 108.57
_cell_angle_gamma 90.00
loop_
_atom_site_label
_atom_site_fract_x
_atom_site_fract_y
_atom_site_fract_z
Ca1 0.231 0.166 0.196
Ca2 0.233 0.500 0.196
As1 0.000 0.333 0.000
S1 0.000 0.000 0.000
I1 0.000 0.165 0.500
I2 0.000 0.500 0.500
# Total DFT energy (no corrections) = -95.35 eV for the cell shown
# DOS at the Fermi energy = 0.316 states/eV/atom
# V = 719.99 Å³/cell

---

Entry 3:
# PBE Ca4AsSI2, relaxed
data_Ca4AsSI2
_chemical_formula_sum 'Ca4 As1 S1 I2'
_symmetry_space_group_name_H-M 'P 1 2/m 1'
_symmetry_Int_Tables_number 10
_symmetry_space_group_name_Hall '-P 2y'
_cell_length_a 7.403
_cell_length_b 4.300
_cell_length_c 7.785
_cell_angle_alpha 90.00
_cell_angle_beta 108.58
_cell_angle_gamma 90.00
loop_
_atom_site_label
_atom_site_fract_x
_atom_site_fract_y
_atom_site_fract_z
Ca1 0.231 0.000 0.196
Ca2 0.267 0.500 0.803
As1 0.500 0.000 0.000
S1 0.000 0.500 0.000
I1 0.000 0.000 0.500
I2 0.500 0.500 0.500
# Total DFT energy (no corrections) = -31.78 eV for the cell shown
# DOS at the Fermi energy = 0.397 states/eV/atom
# V = 234.89 Å³/cell

---

Entry 4:
# PBE Ca6SbAs2I3, relaxed
data_Ca6SbAs2I3
_chemical_formula_sum 'Ca12 Sb2 As4 I6'
_symmetry_space_group_name_H-M 'C 1 2/m 1'
_symmetry_Int_Tables_number 12
_symmetry_space_group_name_Hall '-C 2y'
_cell_length_a 7.759
_cell_length_b 13.442
_cell_length_c 7.968
_cell_angle_alpha 90.00
_cell_angle_beta 108.90
_cell_angle_gamma 90.00
loop_
_atom_site_label
_atom_site_fract_x
_atom_site_fract_y
_atom_site_fract_z
Ca1 0.218 0.000 0.197
Ca2 0.239 0.326 0.197
Sb1 0.000 0.500 0.000
As1 0.000 0.167 0.000
I1 0.000 0.000 0.500
I2 0.000 0.333 0.500
# Total DFT energy (no corrections) = -92.55 eV for the cell shown
# V = 786.17 Å³/cell

---

Entry 5:
# PBE Ca6Sb2AsI3, relaxed
data_Ca6Sb2AsI3
_chemical_formula_sum 'Ca12 Sb4 As2 I6'
_symmetry_space_group_name_H-M 'C 1 2/m 1'
_symmetry_Int_Tables_number 12
_symmetry_space_group_name_Hall '-C 2y'
_cell_length_a 7.902
_cell_length_b 13.696
_cell_length_c 7.998
_cell_angle_alpha 90.00
_cell_angle_beta 109.18
_cell_angle_gamma 90.00
loop_
_atom_site_label
_atom_site_fract_x
_atom_site_fract_y
_atom_site_fract_z
Ca1 0.226 0.159 0.201
Ca2 0.248 0.500 0.201
Sb1 0.000 0.333 0.000
As1 0.000 0.000 0.000
I1 0.000 0.165 0.500
I2 0.000 0.500 0.500
# Total DFT energy (no corrections) = -90.23 eV for the cell shown
# V = 817.54 Å³/cell

---

Entry 6:
# PBE CaAs2SeI, relaxed
data_CaAs2SeI
_chemical_formula_sum 'Ca1 As2 Se1 I1'
_symmetry_space_group_name_H-M 'P 4/m m m'
_symmetry_Int_Tables_number 123
_symmetry_space_group_name_Hall '-P 4 2'
_cell_length_a 5.388
_cell_length_b 5.388
_cell_length_c 5.396
_cell_angle_alpha 90.00
_cell_angle_beta 90.00
_cell_angle_gamma 90.00
loop_
_atom_site_label
_atom_site_fract_x
_atom_site_fract_y
_atom_site_fract_z
Ca1 0.000 0.000 0.000
As1 0.000 0.500 0.500
Se1 0.500 0.500 0.000
I1 0.500 0.500 0.500
# Energy relative to the lowest polymorph listed for this composition = 0.0 meV per atom
# DOS at the Fermi energy = 0.777 states/eV/atom
# V = 156.64 Å³/cell